VASP calculation (PBEsol) on a geometry-optimized Y2ZrBr structure.

Results
The formation energy without anion corrections is -287 meV/atom. As for the energy above the lowest structure with this stoichiometry: 3.861 kcal/mol of atoms. The symmetry is Pm.

a = 3.4681 Å, b = 5.1705 Å, c = 5.8387 Å
α = 90.00°, β = 107.14°, γ = 90.00°
Last column: nearest neighbours and their distance in Å.
Fractional positions:
Y1 0.0000 0.0000 0.0000  3 Br 3.02-3.09, 4 Zr 3.17-3.18
Y2 0.2905 0.5000 0.5868  3 Zr 2.92-3.18, 4 Br 3.19-3.20
Zr1 0.5560 0.5000 0.1101  7 Y 2.92-3.18, 2 Br 3.23
Br1 0.7277 0.0000 0.4583  7 Y 3.02-3.20, 2 Zr 3.23

=====

VASP calculation (PBEsol) on a geometry-optimized MgScTc structure.

Results
For the formation energy from the elements, the calculation gives 0.10 eV/atom. The symmetry is I4mm.

a = 5.3791 Å, b = 5.3791 Å, c = 5.3791 Å
α = 143.86°, β = 143.86°, γ = 52.04°
Last column: nearest neighbours and their distance in Å.
Fractional positions:
Mg1 0.0000 0.0000 0.0000  4 Tc 2.81, 5 Sc 2.84-3.09
Sc1 0.7062 0.7062 0.0000  4 Tc 2.70, 1 Mg 2.84
Tc1 0.3418 0.3418 0.0000  4 Sc 2.70, 4 Mg 2.81

=====

VASP calculation (PBEsol) on a geometry-optimized KAu structure.

Results
For the formation energy from the elements, the calculation gives -0.13 eV/atom. The symmetry is Imma.

a = 6.1282 Å, b = 6.1282 Å, c = 6.1282 Å
α = 139.14°, β = 130.90°, γ = 65.73°
Last column: nearest neighbours and their distance in Å.
Fractional positions:
K1 0.3554 0.1054 0.2500  4 K 3.34-3.67, 8 Au 3.38-3.50
K2 0.6446 0.8946 0.7500  4 K 3.34-3.67, 8 Au 3.38-3.50
Au1 0.0867 0.3367 0.7500  2 Au 2.79
Au2 0.9133 0.6633 0.2500  2 Au 2.79

=====

VASP calculation (PBEsol) on a geometry-optimized Sr2Hg2Te structure.

Results
The formation energy without anion corrections is -504 meV/atom. The symmetry is I4/mmm.

a = 6.3761 Å, b = 6.3761 Å, c = 6.3761 Å
α = 123.66°, β = 123.66°, γ = 83.77°
Last column: nearest neighbours and their distance in Å.
Fractional positions:
Sr1 0.2500 0.7500 0.5000  4 Hg 3.17
Sr2 0.7500 0.2500 0.5000  4 Hg 3.17
Hg1 0.1446 0.1446 0.0000  1 Hg 2.75
Hg2 0.8554 0.8554 0.0000  1 Hg 2.75
Te1 0.5000 0.5000 0.0000  2 Hg 3.37

=====

Let's list magnetization in order: 0.0; 0.0; 0.0; 0.0 μB/f.u..